Record 1
Entry from the Open Quantum Materials Database: a geometry-optimized Gd2HoMg3Al2Cd structure (PBE-GGA).

Results
Space-group type = Amm2

abc: 4.5572 7.4296 7.4296
angles: 119.90 90.00 90.00
Element x y z (fractional)
1 Gd 0.0000 0.2142 0.7858
2 Gd 0.0000 0.7858 0.2142
3 Ho 0.0000 0.3577 0.3577
4 Mg 0.5000 0.0319 0.0319
5 Mg 0.5000 0.5399 0.7857
6 Mg 0.5000 0.7857 0.5399
7 Al 0.5000 0.1195 0.4524
8 Al 0.5000 0.4524 0.1195
9 Cd 0.0000 0.7854 0.7854

***

Record 2
Entry from the Open Quantum Materials Database: a geometry-optimized GdHo2Mg3Al2Cd structure (PBE-GGA).

Results
Space-group type = Amm2

abc: 4.5431 7.4146 7.4146
angles: 120.09 90.00 90.00
Element x y z (fractional)
1 Gd 0.0000 0.0000 0.0000
2 Ho 0.0000 0.1433 0.5715
3 Ho 0.0000 0.5715 0.1433
4 Mg 0.5000 0.3257 0.3257
5 Mg 0.5000 0.5714 0.8175
6 Mg 0.5000 0.8175 0.5714
7 Al 0.5000 0.2385 0.9047
8 Al 0.5000 0.9047 0.2385
9 Cd 0.0000 0.5712 0.5712

***

Number 1: final energy -29.8 eV for the cell shown, calculated volume 218.1 Å³/cell. Number 2: final energy -29.7 eV for the cell shown, calculated volume 216.1 Å³/cell.